[1]
A relaxed structure of Gd2Er5Al, computed with GGA-PBE.

POSCAR file:
```
Gd2Er5Al
1.0
-4.261 -3.350 -0.744
-2.906 2.378 5.932
-4.320 5.532 -0.171
Al Er Gd
1 5 2
Direct
0.000 0.164 0.164
0.000 0.672 0.159
0.500 0.842 0.329
0.000 0.159 0.672
0.500 0.834 0.834
0.500 0.329 0.842
0.500 0.328 0.328
0.000 0.671 0.671
```

Values from the calculation:
Density: 8.4 Mg/m³
Total magnetic moment: 0.2 Bohr magnetons per cell
Electronic total energy: -4.52 eV per atom
Space-group type: Amm2 (38)
Volume: 29.17 A^3/atom

[2]
A relaxed structure of Gd2Er3Al3, computed with GGA-PBE.

POSCAR file:
```
Gd2Er3Al3
1.0
6.869 0.000 0.000
-3.434 5.949 0.000
0.000 0.000 5.100
Al Er Gd
3 3 2
Direct
0.809 0.191 0.000
0.382 0.191 0.000
0.809 0.618 0.000
0.508 0.016 0.500
0.508 0.492 0.500
0.984 0.492 0.500
0.333 0.667 0.000
0.000 0.000 0.500
```

Values from the calculation:
Density: 7.1 Mg/m³
Total magnetic moment: 0.1 Bohr magnetons per cell
Electronic total energy: -4.42 eV per atom
Space-group type: P-6m2 (187)
Volume: 26.05 A^3/atom

[3]
A relaxed structure of GdEr2Al, computed with GGA-PBE.

POSCAR file:
```
GdEr2Al
1.0
-3.891 -1.174 2.938
2.814 -5.915 1.363
2.462 3.923 4.829
Al Er Gd
2 4 2
Direct
0.250 0.424 0.073
0.750 0.073 0.424
0.250 0.935 0.156
0.250 0.870 0.634
0.750 0.634 0.870
0.750 0.156 0.935
0.750 0.567 0.343
0.250 0.343 0.567
```

Values from the calculation:
Density: 7.9 Mg/m³
Total magnetic moment: 0.0 Bohr magnetons per cell
Electronic total energy: -4.55 eV per atom
Space-group type: Ama2 (40)
Volume: 27.40 A^3/atom

[4]
A relaxed structure of GdEr2Al, computed with GGA-PBE.

POSCAR file:
```
GdEr2Al
1.0
5.315 0.000 0.000
0.000 3.503 5.875
0.000 -3.503 5.875
Al Er Gd
2 4 2
Direct
0.000 0.871 0.284
0.000 0.284 0.871
0.500 0.684 0.162
0.500 0.172 0.172
0.500 0.162 0.684
0.000 0.826 0.826
0.000 0.353 0.353
0.500 0.648 0.648
```

Values from the calculation:
Density: 7.9 Mg/m³
Total magnetic moment: 0.0 Bohr magnetons per cell
Electronic total energy: -4.47 eV per atom
Space-group type: Amm2 (38)
Volume: 27.35 A^3/atom